# 1
HoCo2Si (PBE, relaxed); E_form (uncorrected) = -0.41 eV per atom; M_tot = 0.8 μB per formula unit
1.0
3.7520 0.0000 0.0000
0.0000 3.7520 0.0000
0.0000 0.0000 8.9131
Ho Co Si
2 4 2
Direct
0.2500 0.2500 0.2160 Ho
0.7500 0.7500 0.7840 Ho
0.2500 0.2500 0.9055 Co
0.2500 0.7500 0.5000 Co
0.7500 0.2500 0.5000 Co
0.7500 0.7500 0.0945 Co
0.2500 0.2500 0.6439 Si
0.7500 0.7500 0.3561 Si

# 2
Na5Tl12Sn2 (PBE, relaxed); formation energy from the elements = -0.046 eV per atom; M_tot = 0.0 μB per formula unit; ΔE to the lowest computed polymorph = 5 meV per atom
1.0
11.4796 -4.9938 0.0000
11.4796 4.9938 0.0000
-1.1062 0.0000 4.9326
Na Tl Sn
5 12 2
Direct
0.0000 0.0000 0.0000 Na
0.1933 0.1933 0.1934 Na
0.3048 0.3048 0.8033 Na
0.6952 0.6952 0.1967 Na
0.8067 0.8067 0.8066 Na
0.0538 0.5435 0.2977 Tl
0.1006 0.1006 0.6022 Tl
0.1692 0.6425 0.9031 Tl
0.3575 0.8308 0.0969 Tl
0.4172 0.4172 0.4127 Tl
0.4565 0.9462 0.7023 Tl
0.5435 0.0538 0.2977 Tl
0.5828 0.5828 0.5873 Tl
0.6425 0.1692 0.9031 Tl
0.8308 0.3575 0.0969 Tl
0.8994 0.8994 0.3978 Tl
0.9462 0.4565 0.7023 Tl
0.2337 0.7663 0.5000 Sn
0.7663 0.2337 0.5000 Sn

# 3
PmZn6Pt4 (PBE, relaxed); formation energy from the elements = -0.597 eV per atom; M_tot = 0.0 μB per formula unit; ΔE to the lowest computed polymorph = 0 meV per atom
1.0
7.3840 0.0000 0.0000
-3.6920 6.3947 0.0000
0.0000 0.0000 4.0047
Pm Zn Pt
1 6 4
Direct
0.0000 0.0000 0.0000 Pm
0.2009 0.4018 0.5000 Zn
0.2009 0.7991 0.5000 Zn
0.5343 0.0686 0.0000 Zn
0.5343 0.4657 0.0000 Zn
0.5982 0.7991 0.5000 Zn
0.9314 0.4657 0.0000 Zn
0.3333 0.6667 0.0000 Pt
0.3974 0.1987 0.5000 Pt
0.8013 0.1987 0.5000 Pt
0.8013 0.6026 0.5000 Pt

# 4
Mg12Tl5Zn2 (PBE, relaxed); formation energy from the elements = 0.028 eV per atom; M_tot = 0.0 μB per formula unit
1.0
8.0056 -3.6590 0.0000
8.0056 3.6590 0.0000
-2.2391 0.0000 7.8031
Mg Tl Zn
12 5 2
Direct
0.0315 0.0315 0.3342 Mg
0.0826 0.6371 0.3167 Mg
0.1354 0.5621 0.7853 Mg
0.3629 0.9174 0.6833 Mg
0.4379 0.8646 0.2147 Mg
0.4532 0.4532 0.1280 Mg
0.5468 0.5468 0.8720 Mg
0.5621 0.1354 0.7853 Mg
0.6371 0.0826 0.3167 Mg
0.8646 0.4379 0.2147 Mg
0.9174 0.3629 0.6833 Mg
0.9685 0.9685 0.6658 Mg
0.2417 0.2417 0.0155 Tl
0.2464 0.2464 0.4733 Tl
0.5000 0.5000 0.5000 Tl
0.7536 0.7536 0.5267 Tl
0.7583 0.7583 0.9845 Tl
0.1690 0.8310 0.0000 Zn
0.8310 0.1690 0.0000 Zn